The following is a DFT calculation (PBE-GGA) of an optimized crystal structure of Hf4Zr3Sc2.

Geometry as POSCAR:
```
Hf4Zr3Sc2
1.0
-2.229 -1.010 5.496
3.749 -7.296 -0.716
6.692 4.643 2.595
Hf Zr Sc
8 6 4
direct
0.079 0.826 0.443
0.181 0.936 0.114
0.921 0.174 0.557
0.819 0.064 0.886
0.858 0.605 0.112
0.402 0.154 0.445
0.142 0.395 0.888
0.598 0.846 0.555
0.961 0.712 0.780
0.296 0.046 0.776
0.039 0.288 0.220
0.704 0.954 0.224
0.370 0.621 0.218
0.630 0.379 0.782
0.740 0.490 0.445
0.518 0.266 0.111
0.260 0.510 0.555
0.482 0.734 0.889
```

## Properties
- ΔE_f: -1 kJ per mole of atoms
- Space group: P-1 (2)
- Energy: -0.320 hartree per atom
- ΔE to the lowest computed polymorph: 0 meV per atom

=====

The following is a DFT calculation (PBE-GGA) of an optimized crystal structure of Cd5Ag3Sn.

Geometry as POSCAR:
```
Cd5Ag3Sn
1.0
7.072 -1.047 1.472
0.929 7.088 1.472
4.132 3.120 10.367
Cd Ag Sn
10 6 2
direct
0.973 0.459 0.380
0.267 0.733 0.000
0.665 0.665 0.085
0.345 0.345 0.416
0.655 0.655 0.584
0.335 0.335 0.915
0.459 0.973 0.380
0.733 0.267 0.000
0.027 0.541 0.620
0.541 0.027 0.620
0.673 0.673 0.824
0.667 0.667 0.327
0.000 0.000 0.000
0.000 0.000 0.500
0.327 0.327 0.176
0.333 0.333 0.673
0.001 0.001 0.753
0.999 0.999 0.247
```

## Properties
- ΔE_f: 10 kJ per mole of atoms
- Space group: C2/m (12)
- Energy: -0.066 hartree per atom

=====

The following is a DFT calculation (PBE-GGA) of an optimized crystal structure of NdDyTh14.

Geometry as POSCAR:
```
NdDyTh14
1.0
7.172 -0.438 0.000
-3.214 6.427 0.000
0.000 0.000 11.612
Nd Dy Th
1 1 14
direct
0.540 0.460 0.500
0.041 0.959 0.500
0.208 0.792 0.000
0.708 0.292 0.000
0.044 0.458 0.500
0.208 0.291 0.000
0.542 0.956 0.500
0.709 0.792 0.000
0.375 0.124 0.751
0.375 0.124 0.249
0.876 0.625 0.751
0.876 0.625 0.249
0.374 0.626 0.752
0.374 0.626 0.248
0.875 0.125 0.750
0.875 0.125 0.250
```

## Properties
- ΔE_f: 4 kJ per mole of atoms
- Space group: Amm2 (38)
- Energy: -0.259 hartree per atom

=====

The following is a DFT calculation (PBE-GGA) of an optimized crystal structure of CaHo6Tm5.

Geometry as POSCAR:
```
CaHo6Tm5
1.0
-0.470 1.566 4.718
-7.689 0.100 1.844
0.644 -9.430 3.194
Ca Tm Ho
1 5 6
direct
0.000 0.000 0.000
0.333 0.334 0.500
0.672 0.655 0.000
0.000 0.000 0.500
0.328 0.345 0.000
0.667 0.666 0.500
0.170 0.660 0.254
0.170 0.660 0.746
0.500 0.000 0.741
0.500 0.000 0.259
0.830 0.340 0.254
0.830 0.340 0.746
```

## Properties
- ΔE_f: 5 kJ per mole of atoms
- Space group: Cmmm (65)
- Energy: -0.157 hartree per atom

=====

The following is a DFT calculation (PBE-GGA) of an optimized crystal structure of ScV2W.

Geometry as POSCAR:
```
ScV2W
1.0
3.162 0.000 0.000
0.000 3.162 0.000
0.000 0.000 6.629
Sc W V
1 1 2
direct
0.500 0.500 0.500
0.500 0.500 0.000
0.000 0.000 0.790
0.000 0.000 0.210
```

## Properties
- ΔE_f: 15 kJ per mole of atoms
- Space group: P4/mmm (123)
- Energy: -0.339 hartree per atom
- ΔE to the lowest computed polymorph: 0 meV per atom

=====

The following is a DFT calculation (PBE-GGA) of an optimized crystal structure of BaSn2I6.

Geometry as POSCAR:
```
BaSn2I6
1.0
7.493 0.000 0.000
0.000 8.486 0.001
0.000 0.001 13.628
Ba Sn I
2 4 12
direct
0.500 0.500 0.000
0.000 0.000 0.500
0.500 0.000 0.173
0.000 0.500 0.327
0.000 0.500 0.673
0.500 0.000 0.827
0.260 0.199 0.670
0.261 0.199 0.330
0.267 0.146 0.000
0.767 0.354 0.500
0.761 0.301 0.170
0.760 0.301 0.830
0.740 0.801 0.330
0.739 0.801 0.670
0.733 0.854 0.000
0.233 0.646 0.500
0.239 0.699 0.830
0.240 0.699 0.170
```

## Properties
- Space group: Pnnm (58)
- Energy: -0.112 hartree per atom
- ΔE_f (raw): -904 meV/atom
- ΔE to the lowest computed polymorph: 0 meV per atom

=====

The following is a DFT calculation (PBE-GGA) of an optimized crystal structure of Li2TeHO4.

Geometry as POSCAR:
```
Li2TeHO4
1.0
-0.656 -4.641 3.391
4.823 -1.732 -1.437
2.744 3.371 5.145
Li Te H O
4 2 2 8
direct
0.513 0.316 0.245
0.513 0.316 0.755
0.013 0.684 0.745
0.013 0.684 0.255
0.508 0.790 0.500
0.008 0.210 0.000
0.909 0.037 0.500
0.409 0.963 0.000
0.402 0.148 0.000
0.902 0.852 0.500
0.437 0.132 0.500
0.937 0.868 0.000
0.359 0.656 0.727
0.859 0.344 0.227
0.859 0.344 0.773
0.359 0.656 0.273
```

## Properties
- Space group: Pmn2_1 (31)
- Energy: -0.186 hartree per atom

=====

The following is a DFT calculation (PBE-GGA) of an optimized crystal structure of AcSm3Er7.

Geometry as POSCAR:
```
AcSm3Er7
1.0
5.956 -0.218 -0.279
-2.649 7.948 1.168
-2.649 -0.794 7.994
Ac Sm Er
1 3 7
direct
0.500 0.500 0.500
0.000 0.787 0.213
0.500 0.000 0.000
0.000 0.213 0.787
0.195 0.195 0.195
0.284 0.973 0.595
0.716 0.405 0.027
0.284 0.595 0.973
0.000 0.500 0.500
0.716 0.027 0.405
0.805 0.805 0.805
```

## Properties
- ΔE_f: 29 kJ per mole of atoms
- Space group: Immm (71)
- Energy: -0.157 hartree per atom

=====

The following is a DFT calculation (PBE-GGA) of an optimized crystal structure of La8Ru3CI3.

Geometry as POSCAR:
```
La8Ru3CI3
1.0
8.289 0.000 -0.004
-4.144 7.183 -0.029
-0.004 -4.760 8.348
La Ru C I
8 3 1 3
direct
0.269 0.537 0.307
0.731 0.463 0.693
0.784 0.568 0.330
0.216 0.432 0.670
0.784 0.045 0.329
0.216 0.955 0.671
0.261 0.045 0.330
0.739 0.955 0.670
0.500 0.000 0.500
0.500 0.500 0.500
0.000 0.500 0.500
0.000 0.000 0.500
0.000 0.000 0.000
0.000 0.500 0.000
0.500 0.500 0.000
```

## Properties
- Space group: P-1 (2)
- Energy: -0.221 hartree per atom
- ΔE_f (raw): -618 meV/atom

=====

The following is a DFT calculation (PBE-GGA) of an optimized crystal structure of FeTcI3.

Geometry as POSCAR:
```
FeTcI3
1.0
-3.445 -2.616 3.269
3.883 -3.578 1.229
1.564 3.122 4.147
I Tc Fe
3 1 1
direct
0.000 0.500 0.000
0.000 0.000 0.500
0.500 0.000 0.000
0.000 0.000 0.000
0.500 0.500 0.500
```

## Properties
- Space group: Pm-3m (221)
- Energy: -0.134 hartree per atom
- ΔE_f (raw): 1042 meV/atom
- ΔE to the lowest computed polymorph: 37 meV per atom

=====

The following is a DFT calculation (PBE-GGA) of an optimized crystal structure of SrLiBe2.

Geometry as POSCAR:
```
SrLiBe2
1.0
4.393 0.000 0.000
0.000 4.393 0.000
2.197 2.197 8.920
Sr Li Be
2 2 4
direct
0.000 0.000 0.000
0.750 0.250 0.500
0.500 0.500 0.000
0.250 0.750 0.500
0.375 0.125 0.250
0.375 0.625 0.250
0.375 0.625 0.750
0.875 0.625 0.750
```

## Properties
- ΔE_f: 45 kJ per mole of atoms
- Space group: I4_1/amd (141)
- Energy: -0.084 hartree per atom
- ΔE to the lowest computed polymorph: 173 meV per atom

=====

The following is a DFT calculation (PBE-GGA) of an optimized crystal structure of PaCu8Ni4.

Geometry as POSCAR:
```
PaCu8Ni4
1.0
0.029 2.143 4.376
5.270 -1.268 3.299
2.604 5.785 -0.136
Pa Cu Ni
1 8 4
direct
0.000 0.000 0.000
0.000 0.351 0.649
0.000 0.649 0.351
0.351 0.649 0.649
0.649 0.351 0.351
0.500 0.780 0.220
0.500 0.220 0.780
0.280 0.220 0.220
0.720 0.780 0.780
0.000 0.000 0.500
0.500 0.000 0.500
0.000 0.500 0.000
0.500 0.500 0.000
```

## Properties
- ΔE_f: -7 kJ per mole of atoms
- Space group: I4/mmm (139)
- Energy: -0.188 hartree per atom